Y2InRh3 after structural relaxation. Source: Alexandria via LeMat-Bulk, functional PBE.

Unit cell a=4.6591 b=5.4620 c=9.7980 alpha=90.00 beta=90.00 gamma=90.00
Closest atoms and distances in Å follow each position.
Space group Immm (No. 71)
Inequivalent atoms, fractional coordinates:
Y: 0.0000 0.0000 0.1793  6 Rh 2.75-2.92
In: 0.0000 0.0000 0.5000  6 Rh 2.72-2.73
Rh: 0.0000 0.5000 0.1430  2 In 2.72, 4 Y 2.75-2.91, 1 Rh 2.80
Rh: 0.0000 0.5000 0.5000  2 In 2.73, 4 Y 2.92

Output
Density in g cm⁻³: 8.0
Spin magnetization in μB per cell: 0.00
Energy of formation in kJ/mol of formula units: -252
V in Å³/f.u.: 124.7

***

NbCdPd3 after structural relaxation. Source: Alexandria via LeMat-Bulk, functional PBE.

Unit cell a=4.8247 b=4.8247 c=4.8247 alpha=90.00 beta=90.00 gamma=90.00
Closest atoms and distances in Å follow each position.
Space group Pm-3m (No. 221)
Inequivalent atoms, fractional coordinates:
Nb: 0.0000 0.0000 0.0000  12 Pd 3.41
Cd: 0.5000 0.5000 0.5000  6 Pd 2.41
Pd: 0.0000 0.5000 0.5000  2 Cd 2.41

Output
Density in g cm⁻³: 7.8
Spin magnetization in μB per cell: 0.00
Energy of formation in kJ/mol of formula units: 601
V in Å³/f.u.: 112.3

***

Repeat the first record exactly.
Y2InRh3 after structural relaxation. Source: Alexandria via LeMat-Bulk, functional PBE.

Unit cell a=4.6591 b=5.4620 c=9.7980 alpha=90.00 beta=90.00 gamma=90.00
Closest atoms and distances in Å follow each position.
Space group Immm (No. 71)
Inequivalent atoms, fractional coordinates:
Y: 0.0000 0.0000 0.1793  6 Rh 2.75-2.92
In: 0.0000 0.0000 0.5000  6 Rh 2.72-2.73
Rh: 0.0000 0.5000 0.1430  2 In 2.72, 4 Y 2.75-2.91, 1 Rh 2.80
Rh: 0.0000 0.5000 0.5000  2 In 2.73, 4 Y 2.92

Output
Density in g cm⁻³: 8.0
Spin magnetization in μB per cell: 0.00
Energy of formation in kJ/mol of formula units: -252
V in Å³/f.u.: 124.7